Entry 1:
Entry from the Alexandria database: an optimized crystal structure of La2PtPb (PBE).

Output
Crystal system: trigonal
Calculated volume (Å³/cell): 385.5
E_form (meV/atom): -762

Cell: 4.1430 4.1430 25.9324 Å, 90.00 90.00 120.00°
Space group R3m (No. 160, hexagonal axes)
Asymmetric unit:
La  0.0000  0.0000  0.0000 x3
La  0.0000  0.0000  0.1998 x3
Pt  0.0000  0.0000  0.6000 x3
Pb  0.0000  0.0000  0.4335 x3


Entry 2:
Entry from the Alexandria database: an optimized crystal structure of La8Te4Ir3F (PBE).

Output
Crystal system: trigonal
Calculated volume (Å³/cell): 1445.8
Energy relative to the elements, uncorrected (eV per atom): -1.388

Cell: 8.5424 8.5424 22.8772 Å, 90.00 90.00 120.00°
Space group R-3m (No. 166, hexagonal axes)
Asymmetric unit:
La  0.0000  0.0000  0.2362 x6
La  0.0103  0.5051  0.7628 x18
Te  0.0000  0.0000  0.0000 x3
Te  0.0000  0.5000  0.0000 x9
Ir  0.0000  0.5000  0.5000 x9
F  0.0000  0.0000  0.5000 x3


Result set for density of states at the Fermi level: 12.1 33.5 states/eV/cell, one per record in the order listed.